# 1
Entry from the Alexandria database: crystalline Sc2CrHgC at its relaxed geometry (GGA-PBE).

a = 4.6051 Å, b = 4.6051 Å, c = 3.9262 Å
α = 90.00°, β = 90.00°, γ = 90.00°
Sites, in units of the cell vectors:
Sc 0.0000 0.5000 0.0000
Sc 0.5000 0.0000 0.0000
Cr 0.0000 0.0000 0.5000
Hg 0.5000 0.5000 0.5000
C 0.0000 0.0000 0.0000

Output
**Mass density**: 7.070 g/cm³
**V**: 16.653 A^3/atom
**Formation energy from the elements**: -0.37 eV/atom



# 2
Entry from the Alexandria database: crystalline CrTcHgC2 at its relaxed geometry (GGA-PBE).

a = 3.9944 Å, b = 3.9944 Å, c = 4.9189 Å
α = 90.00°, β = 90.00°, γ = 90.00°
Sites, in units of the cell vectors:
Cr 0.0000 0.0000 0.0000
Tc 0.0000 0.0000 0.5000
Hg 0.5000 0.5000 0.0000
C 0.0000 0.5000 0.5000
C 0.5000 0.0000 0.5000

Output
**Mass density**: 7.926 g/cm³
**V**: 15.696 A^3/atom
**Formation energy from the elements**: 1.74 eV/atom



# 3
Entry from the Alexandria database: crystalline Y2CrHgC at its relaxed geometry (GGA-PBE).

a = 5.0537 Å, b = 5.0537 Å, c = 3.9241 Å
α = 90.00°, β = 90.00°, γ = 90.00°
Sites, in units of the cell vectors:
Y 0.0000 0.5000 0.0000
Y 0.5000 0.0000 0.0000
Cr 0.0000 0.0000 0.5000
Hg 0.5000 0.5000 0.5000
C 0.0000 0.0000 0.0000

Output
**Mass density**: 7.330 g/cm³
**V**: 20.044 A^3/atom
**Formation energy from the elements**: -0.32 eV/atom



# 4
Entry from the Alexandria database: crystalline ZrCrHg2C at its relaxed geometry (GGA-PBE).

a = 4.6533 Å, b = 4.6533 Å, c = 4.4551 Å
α = 90.00°, β = 90.00°, γ = 90.00°
Sites, in units of the cell vectors:
Zr 0.0000 0.0000 0.0000
Cr 0.5000 0.5000 0.0000
Hg 0.0000 0.5000 0.5000
Hg 0.5000 0.0000 0.5000
C 0.0000 0.0000 0.5000

Output
**Mass density**: 9.578 g/cm³
**V**: 19.293 A^3/atom
**Formation energy from the elements**: 0.77 eV/atom



# 5
Entry from the Alexandria database: crystalline Zr2CrHgC at its relaxed geometry (GGA-PBE).

a = 4.6568 Å, b = 4.6568 Å, c = 3.8588 Å
α = 90.00°, β = 90.00°, γ = 90.00°
Sites, in units of the cell vectors:
Zr 0.0000 0.5000 0.0000
Zr 0.5000 0.0000 0.0000
Cr 0.0000 0.0000 0.5000
Hg 0.5000 0.5000 0.5000
C 0.0000 0.0000 0.0000

Output
**Mass density**: 8.871 g/cm³
**V**: 16.736 A^3/atom
**Formation energy from the elements**: -0.29 eV/atom



# 6
Entry from the Alexandria database: crystalline ZrCrHgC2 at its relaxed geometry (GGA-PBE).

a = 3.9753 Å, b = 3.9753 Å, c = 4.9723 Å
α = 90.00°, β = 90.00°, γ = 90.00°
Sites, in units of the cell vectors:
Zr 0.0000 0.0000 0.0000
Cr 0.0000 0.0000 0.5000
Hg 0.5000 0.5000 0.0000
C 0.0000 0.5000 0.5000
C 0.5000 0.0000 0.5000

Output
**Mass density**: 7.773 g/cm³
**V**: 15.715 A^3/atom
**Formation energy from the elements**: 1.31 eV/atom



# 7
Entry from the Alexandria database: crystalline Ho2CrC2 at its relaxed geometry (GGA-PBE).

a = 6.0012 Å, b = 6.0012 Å, c = 6.5962 Å
α = 116.10°, β = 116.10°, γ = 49.68°
Sites, in units of the cell vectors:
Ho 0.0352 0.0352 0.2779
Ho 0.3180 0.3180 0.8805
Ho 0.6820 0.6820 0.1195
Ho 0.9648 0.9648 0.7221
Cr 0.3648 0.3648 0.3714
Cr 0.6352 0.6352 0.6286
C 0.1871 0.1871 0.1148
C 0.4933 0.4933 0.7123
C 0.5067 0.5067 0.2877
C 0.8129 0.8129 0.8852

Output
**Mass density**: 8.509 g/cm³
**V**: 15.842 A^3/atom
**Formation energy from the elements**: -0.28 eV/atom



# 8
Entry from the Alexandria database: crystalline HoCrC2 at its relaxed geometry (GGA-PBE).

a = 3.1892 Å, b = 3.1892 Å, c = 15.8324 Å
α = 90.00°, β = 90.00°, γ = 120.00°
Sites, in units of the cell vectors:
Ho 0.0000 0.0000 0.0000
Ho 0.3333 0.6667 0.6667
Ho 0.6667 0.3333 0.3333
Cr 0.0000 0.0000 0.5000
Cr 0.3333 0.6667 0.1667
Cr 0.6667 0.3333 0.8333
C 0.0000 0.0000 0.2331
C 0.0000 0.0000 0.7669
C 0.3333 0.6667 0.4336
C 0.3333 0.6667 0.8997
C 0.6667 0.3333 0.1003
C 0.6667 0.3333 0.5664

Output
**Mass density**: 8.607 g/cm³
**V**: 11.622 A^3/atom
**Formation energy from the elements**: 0.09 eV/atom



# 9
Entry from the Alexandria database: crystalline Ho5Cr2C6 at its relaxed geometry (GGA-PBE).

a = 9.7173 Å, b = 11.4973 Å, c = 3.3798 Å
α = 90.00°, β = 90.00°, γ = 90.00°
Sites, in units of the cell vectors:
Ho 0.0000 0.0000 0.0000
Ho 0.0840 0.2506 0.0000
Ho 0.1676 0.5114 0.0000
Ho 0.3324 0.0114 0.0000
Ho 0.4160 0.7506 0.0000
Ho 0.5000 0.5000 0.0000
Ho 0.5840 0.2494 0.0000
Ho 0.6676 0.9886 0.0000
Ho 0.8324 0.4886 0.0000
Ho 0.9160 0.7494 0.0000
Cr 0.1684 0.7223 0.5000
Cr 0.3316 0.2223 0.5000
Cr 0.6684 0.7777 0.5000
Cr 0.8316 0.2777 0.5000
C 0.0164 0.6232 0.5000
C 0.1672 0.8078 0.0000
C 0.1751 0.1074 0.5000
C 0.3249 0.6074 0.5000
C 0.3328 0.3078 0.0000
C 0.4836 0.1232 0.5000
C 0.5164 0.8768 0.5000
C 0.6672 0.6922 0.0000
C 0.6751 0.3926 0.5000
C 0.8249 0.8926 0.5000
C 0.8328 0.1922 0.0000
C 0.9836 0.3768 0.5000

Output
**Mass density**: 8.801 g/cm³
**V**: 14.523 A^3/atom
**Formation energy from the elements**: -0.06 eV/atom



# 10
Entry from the Alexandria database: crystalline La2HoCr2C4 at its relaxed geometry (GGA-PBE).

a = 6.9031 Å, b = 6.9031 Å, c = 6.1823 Å
α = 108.08°, β = 108.08°, γ = 29.37°
Sites, in units of the cell vectors:
La 0.1320 0.1320 0.0385
La 0.8680 0.8680 0.9615
Ho 0.0000 0.0000 0.5000
Cr 0.3190 0.3190 0.4990
Cr 0.6810 0.6810 0.5010
C 0.2128 0.2128 0.6636
C 0.4465 0.4465 0.7235
C 0.5535 0.5535 0.2765
C 0.7872 0.7872 0.3364

Output
**Mass density**: 7.218 g/cm³
**V**: 15.204 A^3/atom
**Formation energy from the elements**: -0.14 eV/atom



# 11
Entry from the Alexandria database: crystalline LiHoCrC at its relaxed geometry (GGA-PBE).

a = 3.3238 Å, b = 3.3238 Å, c = 11.0317 Å
α = 90.00°, β = 90.00°, γ = 90.00°
Sites, in units of the cell vectors:
Li 0.2500 0.7500 0.0000
Li 0.7500 0.2500 0.0000
Ho 0.2500 0.2500 0.2722
Ho 0.7500 0.7500 0.7278
Cr 0.2500 0.7500 0.5000
Cr 0.7500 0.2500 0.5000
C 0.2500 0.2500 0.6204
C 0.7500 0.7500 0.3796

Output
**Mass density**: 6.428 g/cm³
**V**: 15.234 A^3/atom
**Formation energy from the elements**: -0.05 eV/atom



# 12
Entry from the Alexandria database: crystalline Nd2HoCr2C4 at its relaxed geometry (GGA-PBE).

a = 6.8709 Å, b = 6.8709 Å, c = 6.0763 Å
α = 108.17°, β = 108.17°, γ = 29.35°
Sites, in units of the cell vectors:
Nd 0.1336 0.1336 0.0407
Nd 0.8664 0.8664 0.9593
Ho 0.0000 0.0000 0.5000
Cr 0.3191 0.3191 0.4998
Cr 0.6809 0.6809 0.5002
C 0.2131 0.2131 0.6694
C 0.4479 0.4479 0.7283
C 0.5521 0.5521 0.2717
C 0.7869 0.7869 0.3306

Output
**Mass density**: 7.553 g/cm³
**V**: 14.790 A^3/atom
**Formation energy from the elements**: -0.11 eV/atom



# 13
Entry from the Alexandria database: crystalline Ho2NpCr2C4 at its relaxed geometry (GGA-PBE).

a = 6.5897 Å, b = 6.5897 Å, c = 5.9794 Å
α = 108.83°, β = 108.83°, γ = 29.39°
Sites, in units of the cell vectors:
Ho 0.1364 0.1364 0.0433
Ho 0.8636 0.8636 0.9567
Np 0.0000 0.0000 0.5000
Cr 0.3202 0.3202 0.5088
Cr 0.6798 0.6798 0.4912
C 0.2208 0.2208 0.7072
C 0.4681 0.4681 0.7510
C 0.5319 0.5319 0.2490
C 0.7792 0.7792 0.2928

Output
**Mass density**: 9.938 g/cm³
**V**: 13.347 A^3/atom
**Formation energy from the elements**: -0.04 eV/atom



# 14
Entry from the Alexandria database: crystalline Ho2PaCr2C4 at its relaxed geometry (GGA-PBE).

a = 6.6232 Å, b = 6.6232 Å, c = 6.0587 Å
α = 109.67°, β = 109.67°, γ = 29.75°
Sites, in units of the cell vectors:
Ho 0.1366 0.1366 0.0466
Ho 0.8634 0.8634 0.9534
Pa 0.0000 0.0000 0.5000
Cr 0.3182 0.3182 0.5155
Cr 0.6818 0.6818 0.4845
C 0.2184 0.2184 0.7029
C 0.4667 0.4667 0.7585
C 0.5333 0.5333 0.2415
C 0.7816 0.7816 0.2971

Output
**Mass density**: 9.577 g/cm³
**V**: 13.735 A^3/atom
**Formation energy from the elements**: -0.13 eV/atom



# 15
Entry from the Alexandria database: crystalline Ho2PaCrC4 at its relaxed geometry (GGA-PBE).

a = 6.0180 Å, b = 6.0180 Å, c = 11.9457 Å
α = 90.00°, β = 90.00°, γ = 146.92°
Sites, in units of the cell vectors:
Ho 0.1315 0.8685 0.5445
Ho 0.1315 0.8685 0.9555
Ho 0.8685 0.1315 0.0445
Ho 0.8685 0.1315 0.4555
Pa 0.4074 0.5926 0.7500
Pa 0.5926 0.4074 0.2500
Cr 0.3291 0.6709 0.2500
Cr 0.6709 0.3291 0.7500
C 0.0717 0.9283 0.7500
C 0.2263 0.7737 0.1378
C 0.2263 0.7737 0.3622
C 0.5000 0.5000 0.0000
C 0.5000 0.5000 0.5000
C 0.7737 0.2263 0.6378
C 0.7737 0.2263 0.8622
C 0.9283 0.0717 0.2500

Output
**Mass density**: 9.294 g/cm³
**V**: 14.760 A^3/atom
**Formation energy from the elements**: -0.10 eV/atom



# 16
Entry from the Alexandria database: crystalline HoPa2CrC4 at its relaxed geometry (GGA-PBE).

a = 5.9893 Å, b = 5.9893 Å, c = 12.1311 Å
α = 90.00°, β = 90.00°, γ = 145.69°
Sites, in units of the cell vectors:
Ho 0.1097 0.8903 0.7500
Ho 0.8903 0.1097 0.2500
Pa 0.3665 0.6335 0.5474
Pa 0.3665 0.6335 0.9526
Pa 0.6335 0.3665 0.0474
Pa 0.6335 0.3665 0.4526
Cr 0.1613 0.8387 0.2500
Cr 0.8387 0.1613 0.7500
C 0.0000 0.0000 0.0000
C 0.0000 0.0000 0.5000
C 0.2657 0.7343 0.1310
C 0.2657 0.7343 0.3690
C 0.4168 0.5832 0.7500
C 0.5832 0.4168 0.2500
C 0.7343 0.2657 0.6310
C 0.7343 0.2657 0.8690

Output
**Mass density**: 9.844 g/cm³
**V**: 15.330 A^3/atom
**Formation energy from the elements**: -0.16 eV/atom



# 17
Entry from the Alexandria database: crystalline PmHo2Cr2C4 at its relaxed geometry (GGA-PBE).

a = 6.8563 Å, b = 6.8563 Å, c = 6.0128 Å
α = 110.96°, β = 110.96°, γ = 28.94°
Sites, in units of the cell vectors:
Pm 0.0000 0.0000 0.0000
Ho 0.1352 0.1352 0.5463
Ho 0.8648 0.8648 0.4537
Cr 0.3206 0.3206 0.0157
Cr 0.6794 0.6794 0.9843
C 0.2179 0.2179 0.1854
C 0.4564 0.4564 0.2620
C 0.5436 0.5436 0.7380
C 0.7821 0.7821 0.8146

Output
**Mass density**: 8.191 g/cm³
**V**: 14.120 A^3/atom
**Formation energy from the elements**: -0.04 eV/atom



# 18
Entry from the Alexandria database: crystalline PrHo2Cr2C4 at its relaxed geometry (GGA-PBE).

a = 6.9244 Å, b = 6.9244 Å, c = 6.1413 Å
α = 113.21°, β = 113.21°, γ = 28.61°
Sites, in units of the cell vectors:
Pr 0.0000 0.0000 0.0000
Ho 0.1335 0.1335 0.5498
Ho 0.8665 0.8665 0.4502
Cr 0.3219 0.3219 0.0216
Cr 0.6781 0.6781 0.9784
C 0.2191 0.2191 0.1769
C 0.4616 0.4616 0.2765
C 0.5384 0.5384 0.7235
C 0.7809 0.7809 0.8231

Output
**Mass density**: 8.029 g/cm³
**V**: 14.313 A^3/atom
**Formation energy from the elements**: 0.01 eV/atom



# 19
Entry from the Alexandria database: crystalline HoPu2Cr2C4 at its relaxed geometry (GGA-PBE).

a = 6.8023 Å, b = 6.8023 Å, c = 5.9601 Å
α = 108.19°, β = 108.19°, γ = 28.88°
Sites, in units of the cell vectors:
Ho 0.0000 0.0000 0.0000
Pu 0.1291 0.1291 0.5381
Pu 0.8709 0.8709 0.4619
Cr 0.3191 0.3191 0.9969
Cr 0.6809 0.6809 0.0031
C 0.2146 0.2146 0.1791
C 0.4490 0.4490 0.2425
C 0.5510 0.5510 0.7575
C 0.7854 0.7854 0.8209

Output
**Mass density**: 10.603 g/cm³
**V**: 14.007 A^3/atom
**Formation energy from the elements**: -0.02 eV/atom



# 20
Entry from the Alexandria database: crystalline HoScCrC2 at its relaxed geometry (GGA-PBE).

a = 6.9272 Å, b = 6.9272 Å, c = 8.5666 Å
α = 128.04°, β = 128.04°, γ = 27.54°
Sites, in units of the cell vectors:
Ho 0.1651 0.1651 0.0699
Ho 0.8349 0.8349 0.9301
Sc 0.3771 0.3771 0.5967
Sc 0.6229 0.6229 0.4033
Cr 0.0895 0.0895 0.6558
Cr 0.9105 0.9105 0.3442
C 0.2253 0.2253 0.6434
C 0.3943 0.3943 0.2012
C 0.6057 0.6057 0.7988
C 0.7747 0.7747 0.3566

Output
**Mass density**: 6.464 g/cm³
**V**: 14.690 A^3/atom
**Formation energy from the elements**: -0.33 eV/atom